[1]
First-principles (PBE) data for an optimized crystal structure of ZnBrN2, as listed in Alexandria via LeMat-Bulk.

The value obtained for the energy relative to the elements, uncorrected is 1.662 eV per atom. The value obtained for the total magnetic moment is 0.000 μB per atom. As for the total energy: -3.238 eV/atom. Its energy above the most stable polymorph in this dataset is 456 meV/atom.

It has space group R-3m (No. 166, hexagonal axes), with a = 3.5253 Å, b = 3.5253 Å, c = 17.2126 Å, α = 90.00°, β = 90.00° and γ = 120.00°. The inequivalent atoms are Zn at (0.0000, 0.0000, 0.0000), Br at (0.0000, 0.0000, 0.5000) and N at (0.0000, 0.0000, 0.1083).

***

[2]
First-principles (PBE) data for an optimized crystal structure of ZnBrN2, as listed in Alexandria via LeMat-Bulk.

The value obtained for the energy relative to the elements, uncorrected is 1.480 eV per atom. The value obtained for the total magnetic moment is 0.000 μB per atom. As for the total energy: -3.419 eV/atom. Its energy above the most stable polymorph in this dataset is 275 meV/atom.

It has space group I-42d (No. 122), with a = 4.567 Å, b = 4.567 Å, c = 10.966 Å, α = 90.00°, β = 90.00° and γ = 90.00°. The inequivalent atoms are Zn at (0.000, 0.000, 0.000), Br at (0.000, 0.000, 0.500) and N at (0.240, 0.250, 0.125).

***

[3]
First-principles (PBE) data for an optimized crystal structure of ZnBr2N, as listed in Alexandria via LeMat-Bulk.

The value obtained for the energy relative to the elements, uncorrected is 1.080 eV per atom. The value obtained for the total magnetic moment is 0.000 μB per atom. As for the total energy: -2.156 eV/atom. Its energy above the most stable polymorph in this dataset is 384 meV/atom.

It has space group I-42d (No. 122), with a = 5.036 Å, b = 5.036 Å, c = 14.080 Å, α = 90.00°, β = 90.00° and γ = 90.00°. The inequivalent atoms are Zn at (0.000, 0.000, 0.000), Br at (0.214, 0.250, 0.625) and N at (0.000, 0.000, 0.500).

***

[4]
First-principles (PBE) data for an optimized crystal structure of ZnBrN2, as listed in Alexandria via LeMat-Bulk.

The value obtained for the energy relative to the elements, uncorrected is 1.206 eV per atom. The value obtained for the total magnetic moment is 0.000 μB per atom. As for the total energy: -3.694 eV/atom. Its energy above the most stable polymorph in this dataset is 0 meV/atom.

It has space group R-3m (No. 166, hexagonal axes), with a = 3.2793 Å, b = 3.2793 Å, c = 17.6160 Å, α = 90.00°, β = 90.00° and γ = 120.00°. The inequivalent atoms are Zn at (0.0000, 0.0000, 0.0000), Br at (0.0000, 0.0000, 0.5000) and N at (0.0000, 0.0000, 0.3883).

***

[5]
First-principles (PBE) data for an optimized crystal structure of Zn3BrN, as listed in Alexandria via LeMat-Bulk.

The value obtained for the energy relative to the elements, uncorrected is 0.308 eV per atom. The value obtained for the total magnetic moment is 0.000 μB per atom. As for the total energy: -2.456 eV/atom. Its energy above the most stable polymorph in this dataset is 0 meV/atom.

It has space group Pm-3m (No. 221), with a = 4.434 Å, b = 4.434 Å, c = 4.434 Å, α = 90.00°, β = 90.00° and γ = 90.00°. The inequivalent atoms are Zn at (0.000, 0.000, 0.500), Br at (0.500, 0.500, 0.500) and N at (0.000, 0.000, 0.000).

***

[6]
First-principles (PBE) data for an optimized crystal structure of ZnBr2N2, as listed in Alexandria via LeMat-Bulk.

The value obtained for the energy relative to the elements, uncorrected is 1.728 eV per atom. The value obtained for the total magnetic moment is 0.052 μB per atom. As for the total energy: -2.526 eV/atom. Its energy above the most stable polymorph in this dataset is 2203 meV/atom.

It has space group P4/mbm (No. 127), with a = 9.009 Å, b = 9.009 Å, c = 3.266 Å, α = 90.00°, β = 90.00° and γ = 90.00°. The inequivalent atoms are Zn at (0.000, 0.000, 0.000), Br at (0.167, 0.333, 0.000) and N at (0.248, 0.252, 0.500).

***

[7]
First-principles (PBE) data for an optimized crystal structure of Zn3BrN2, as listed in Alexandria via LeMat-Bulk.

The value obtained for the energy relative to the elements, uncorrected is 0.027 eV per atom. The value obtained for the total magnetic moment is 0.000 μB per atom. As for the total energy: -3.664 eV/atom.

It has space group P-1 (No. 2), with a = 3.528 Å, b = 5.902 Å, c = 12.770 Å, α = 89.89°, β = 86.40° and γ = 72.68°. The inequivalent atoms are Zn at (0.037, 0.489, 0.360), Zn at (0.220, 0.963, 0.713), Zn at (0.352, 0.802, 0.489), Br at (0.348, 0.959, 0.158), N at (0.143, 0.173, 0.587) and N at (0.394, 0.653, 0.632).

***

[8]
First-principles (PBE) data for an optimized crystal structure of ZrZn2BrN, as listed in Alexandria via LeMat-Bulk.

The value obtained for the energy relative to the elements, uncorrected is 0.286 eV per atom. The value obtained for the total magnetic moment is 0.000 μB per atom. As for the total energy: -3.933 eV/atom.

It has space group P4/mmm (No. 123), with a = 5.706 Å, b = 5.706 Å, c = 3.994 Å, α = 90.00°, β = 90.00° and γ = 90.00°. The inequivalent atoms are Zr at (0.000, 0.000, 0.000), Zn at (0.000, 0.500, 0.000), Br at (0.500, 0.500, 0.500) and N at (0.000, 0.000, 0.500).

***

[9]
First-principles (PBE) data for an optimized crystal structure of ZrBr2N, as listed in Alexandria via LeMat-Bulk.

The value obtained for the energy relative to the elements, uncorrected is -0.563 eV per atom. The value obtained for the total magnetic moment is 0.250 μB per atom. As for the total energy: -5.618 eV/atom. Its energy above the most stable polymorph in this dataset is 0 meV/atom.

It has space group I-42d (No. 122), with a = 10.267 Å, b = 10.267 Å, c = 4.117 Å, α = 90.00°, β = 90.00° and γ = 90.00°. The inequivalent atoms are Zr at (0.000, 0.000, 0.000), Br at (0.088, 0.250, 0.125) and N at (0.000, 0.000, 0.500).

***

[10]
First-principles (PBE) data for an optimized crystal structure of ZrBr3N, as listed in Alexandria via LeMat-Bulk.

The value obtained for the energy relative to the elements, uncorrected is 0.110 eV per atom. The value obtained for the total magnetic moment is 0.574 μB per atom. As for the total energy: -4.268 eV/atom.

It has space group Pm-3m (No. 221), with a = 5.349 Å, b = 5.349 Å, c = 5.349 Å, α = 90.00°, β = 90.00° and γ = 90.00°. The inequivalent atoms are Zr at (0.000, 0.000, 0.000), Br at (0.000, 0.000, 0.500) and N at (0.500, 0.500, 0.500).

***

[11]
First-principles (PBE) data for an optimized crystal structure of ZrBr4N2, as listed in Alexandria via LeMat-Bulk.

The value obtained for the energy relative to the elements, uncorrected is 0.681 eV per atom. The value obtained for the total magnetic moment is 0.857 μB per atom. As for the total energy: -3.875 eV/atom.

It has space group R-3m (No. 166, hexagonal axes), with a = 5.1417 Å, b = 5.1417 Å, c = 32.9305 Å, α = 90.00°, β = 90.00° and γ = 120.00°. The inequivalent atoms are Zr at (0.0000, 0.0000, 0.0000), Br at (0.0000, 0.0000, 0.0767), Br at (0.0000, 0.0000, 0.3255) and N at (0.0000, 0.0000, 0.2020).

***

[12]
First-principles (PBE) data for an optimized crystal structure of Zr2BrN, as listed in Alexandria via LeMat-Bulk.

The value obtained for the energy relative to the elements, uncorrected is -0.121 eV per atom. The value obtained for the total magnetic moment is 0.000 μB per atom. As for the total energy: -6.894 eV/atom.

It has space group Fm-3m (No. 225), with a = 6.327 Å, b = 6.327 Å, c = 6.327 Å, α = 90.00°, β = 90.00° and γ = 90.00°. The inequivalent atoms are Zr at (0.250, 0.250, 0.250), Br at (0.000, 0.000, 0.000) and N at (0.000, 0.000, 0.500).

***

What did the first record say?
First-principles (PBE) data for an optimized crystal structure of ZnBrN2, as listed in Alexandria via LeMat-Bulk.

The value obtained for the energy relative to the elements, uncorrected is 1.662 eV per atom. The value obtained for the total magnetic moment is 0.000 μB per atom. As for the total energy: -3.238 eV/atom. Its energy above the most stable polymorph in this dataset is 456 meV/atom.

It has space group R-3m (No. 166, hexagonal axes), with a = 3.5253 Å, b = 3.5253 Å, c = 17.2126 Å, α = 90.00°, β = 90.00° and γ = 120.00°. The inequivalent atoms are Zn at (0.0000, 0.0000, 0.0000), Br at (0.0000, 0.0000, 0.5000) and N at (0.0000, 0.0000, 0.1083).

***

> The highest energy relative to the elements, uncorrected belongs to which entry?

ZnBr2N2

***

> Which value of total magnetic moment does entry 7 give?

0.000 μB per atom

***

> Which value of energy relative to the elements, uncorrected does entry 9 give?

-0.563 eV per atom